1 | # Os2Ru3Rh2

An optimized crystal structure of Os2Ru3Rh2 (GGA-PBE, Alexandria).

## Properties
* calculated density: 14.06 Mg/m³

abc: 4.874 9.642 5.324
angles: 90.00 122.89 90.00
Atoms (fractional coordinates):
1 Os 0.207 0.287 0.123
2 Os 0.707 0.213 0.623
3 Os 0.293 0.787 0.377
4 Os 0.793 0.713 0.877
5 Ru 0.500 0.500 0.500
6 Ru 0.000 0.000 0.000
7 Ru 0.680 0.972 0.391
8 Ru 0.820 0.472 0.109
9 Ru 0.180 0.528 0.891
10 Ru 0.320 0.028 0.609
11 Rh 0.791 0.692 0.380
12 Rh 0.709 0.192 0.120
13 Rh 0.291 0.808 0.880
14 Rh 0.209 0.308 0.620

2 | # Os2Ru3Rh2

An optimized crystal structure of Os2Ru3Rh2 (GGA-PBE, Alexandria).

## Properties
* calculated density: 14.47 Mg/m³

abc: 2.714 6.233 6.693
angles: 111.99 89.97 102.58
Atoms (fractional coordinates):
1 Os 0.615 0.230 0.793
2 Os 0.385 0.770 0.207
3 Ru 0.000 0.000 0.000
4 Ru 0.700 0.402 0.214
5 Ru 0.300 0.598 0.786
6 Rh 0.909 0.821 0.569
7 Rh 0.091 0.179 0.431

The data favor 2; the next most stable structure lies 0.158 eV/atom above it.

1 | # OsRh3S

An optimized crystal structure of OsRh3S (GGA-PBE, Alexandria).

## Properties
* calculated density: 10.84 Mg/m³

abc: 4.333 4.333 4.333
angles: 90.00 90.00 90.00
Atoms (fractional coordinates):
1 Rh 0.000 0.500 0.000
2 Rh 0.000 0.000 0.500
3 Rh 0.500 0.000 0.000
4 S 0.000 0.000 0.000
5 Os 0.500 0.500 0.500

2 | # OsRh3S

An optimized crystal structure of OsRh3S (GGA-PBE, Alexandria).

## Properties
* calculated density: 8.47 Mg/m³

abc: 4.705 4.705 4.705
angles: 90.00 90.00 90.00
Atoms (fractional coordinates):
1 Rh 0.000 0.500 0.000
2 Rh 0.000 0.000 0.500
3 Rh 0.500 0.000 0.000
4 S 0.500 0.500 0.500
5 Os 0.000 0.000 0.000

The data favor 1; the next most stable structure lies 0.696 eV/atom above it.

1 | # ScOsRh2

An optimized crystal structure of ScOsRh2 (GGA-PBE, Alexandria).

## Properties
* calculated density: 11.96 Mg/m³

abc: 4.842 4.842 4.842
angles: 132.11 132.11 70.05
Atoms (fractional coordinates):
1 Os 0.750 0.250 0.500
2 Rh 0.000 0.000 0.000
3 Rh 0.250 0.750 0.500
4 Sc 0.500 0.500 0.000

2 | # ScOsRh2

An optimized crystal structure of ScOsRh2 (GGA-PBE, Alexandria).

## Properties
* calculated density: 11.77 Mg/m³

abc: 9.005 9.005 9.005
angles: 18.20 18.20 18.20
Atoms (fractional coordinates):
1 Os 0.747 0.747 0.747
2 Rh 0.001 0.001 0.001
3 Rh 0.249 0.249 0.249
4 Sc 0.503 0.503 0.503

The data favor 1; the next most stable structure lies 0.277 eV/atom above it.